# RbGaBr6 PBE optimized geometry
# DOS at the Fermi energy: 8.298 states/eV per cell
# Theoretical density: 3.9 g/cm3
# Raw formation energy: -14.41 kcal/mol of atoms
# Crystal system: trigonal
data_RbGaBr6
_chemical_formula_sum 'Rb1 Ga1 Br6'
_cell_length_a 6.4969
_cell_length_b 6.4969
_cell_length_c 6.4969
_cell_angle_alpha 96.62
_cell_angle_beta 96.62
_cell_angle_gamma 96.62
_symmetry_space_group_name_H-M 'P 1'
_symmetry_Int_Tables_number 1
loop_
_symmetry_equiv_pos_as_xyz
'x,y,z'
loop_
_atom_site_label
_atom_site_fract_x
_atom_site_fract_y
_atom_site_fract_z
Rb1 0.0000 0.0000 0.0000
Ga1 0.5000 0.5000 0.5000
Br1 0.2227 0.2227 0.5838
Br2 0.2227 0.5838 0.2227
Br3 0.4162 0.7773 0.7773
Br4 0.5838 0.2227 0.2227
Br5 0.7773 0.4162 0.7773
Br6 0.7773 0.7773 0.4162